Entry 1:
# LiHfPtRh

A geometry-optimized LiHfPtRh structure (PBE, the Alexandria database).

The calculation puts the formation energy at -856 meV/atom. As for the space group: F-43m. As for the density of states at the Fermi level: 2.218 states/eV per cell. The value obtained for the spin magnetization is 0.0 μB/f.u.

Cell: 4.4522 4.4522 4.4522 Å, 60.00 60.00 60.00°
Closest atoms and distances in Å follow each position.
Atoms (fractional coordinates):
Hf 0.0000 0.0000 0.0000  4 Rh 2.73, 4 Pt 2.73
Rh 0.2500 0.2500 0.2500  4 Li 2.73, 4 Hf 2.73
Pt 0.7500 0.7500 0.7500  4 Li 2.73, 4 Hf 2.73
Li 0.5000 0.5000 0.5000  4 Pt 2.73, 4 Rh 2.73

Entry 2:
# Y5Cd2Tc

A geometry-optimized Y5Cd2Tc structure (PBE, the Alexandria database).

The calculation puts the formation energy at -179 meV/atom. As for the space group: Pbam. As for the density of states at the Fermi level: 17.288 states/eV per cell. The value obtained for the spin magnetization is 0.0 μB/f.u.

Cell: 5.1336 6.6444 12.3906 Å, 90.00 90.00 90.00°
Closest atoms and distances in Å follow each position.
Atoms (fractional coordinates):
Y 0.5000 0.6597 0.8997  2 Tc 3.04, 3 Cd 3.15-3.30, 1 Y 3.27
Cd 0.5000 0.1284 0.8593  7 Y 3.15-3.30
Y 0.5000 0.3403 0.1003  2 Tc 3.04, 3 Cd 3.15-3.30, 1 Y 3.27
Y 0.5000 0.1597 0.6003  2 Tc 3.04, 3 Cd 3.15-3.30, 1 Y 3.27
Y 0.0000 0.3734 0.7863  1 Tc 2.78
Cd 0.5000 0.8716 0.1407  7 Y 3.15-3.30
Tc 0.0000 0.0000 0.5000  6 Y 2.78-3.04
Cd 0.5000 0.6284 0.6407  7 Y 3.15-3.30
Y 0.0000 0.5000 0.5000  4 Cd 3.22, 2 Tc 3.32
Y 0.5000 0.8403 0.3997  2 Tc 3.04, 3 Cd 3.15-3.30, 1 Y 3.27
Y 0.0000 0.6266 0.2137  1 Tc 2.78
Y 0.0000 0.1266 0.2863  1 Tc 2.78
Y 0.0000 0.0000 0.0000  4 Cd 3.22, 2 Tc 3.32
Cd 0.5000 0.3716 0.3593  7 Y 3.15-3.30
Tc 0.0000 0.5000 0.0000  6 Y 2.78-3.04
Y 0.0000 0.8734 0.7137  1 Tc 2.78

Entry 3:
# Na2SmPd9

A geometry-optimized Na2SmPd9 structure (PBE, the Alexandria database).

The calculation puts the formation energy at -325 meV/atom. As for the space group: R-3m. As for the density of states at the Fermi level: 11.609 states/eV per cell. The value obtained for the spin magnetization is 0.0 μB/f.u.

Cell: 5.3462 5.3462 9.4395 Å, 73.55 73.55 60.00°
Closest atoms and distances in Å follow each position.
Atoms (fractional coordinates):
Pd 0.5000 0.5000 0.5000  6 Pd 2.70
Pd 0.0824 0.5851 0.7474  7 Pd 2.66-2.74
Pd 0.3331 0.3331 0.0008  6 Pd 2.72-2.74
Na 0.8553 0.8553 0.4342  12 Pd 3.13-3.19, 3 Na 3.30
Pd 0.5851 0.5851 0.7474  7 Pd 2.66-2.74
Pd 0.5851 0.0824 0.7474  7 Pd 2.66-2.74
Pd 0.6669 0.6669 0.9992  6 Pd 2.72-2.74
Pd 0.4149 0.9176 0.2526  7 Pd 2.66-2.74
Pd 0.9176 0.4149 0.2526  7 Pd 2.66-2.74
Sm 0.0000 0.0000 0.0000  6 Pd 3.09
Na 0.1447 0.1447 0.5658  12 Pd 3.13-3.19, 3 Na 3.30
Pd 0.4149 0.4149 0.2526  7 Pd 2.66-2.74

Entry 4:
# K2In12Sn7

A geometry-optimized K2In12Sn7 structure (PBE, the Alexandria database).

The calculation puts the formation energy at -27 meV/atom. As for the space group: P-3. As for the density of states at the Fermi level: 9.629 states/eV per cell. The value obtained for the spin magnetization is 0.0 μB/f.u.

Cell: 4.6333 12.6956 12.6957 Å, 120.00 90.00 90.00°
Closest atoms and distances in Å follow each position.
Atoms (fractional coordinates):
In 0.7585 0.5607 0.6267  4 Sn 3.07-3.15
In 0.2257 0.1139 0.2516  4 Sn 3.05-3.19
Sn 0.5000 0.0000 0.0000  6 In 3.05
In 0.7743 0.8861 0.7484  4 Sn 3.05-3.19
Sn 0.7332 0.2960 0.4066  7 In 3.07-3.19
In 0.7585 0.0659 0.4393  4 Sn 3.07-3.15
K 0.7570 0.6667 0.3333  6 Sn 3.84-3.89, 6 In 3.89-3.97
In 0.7585 0.3733 0.9341  4 Sn 3.07-3.15
Sn 0.7332 0.5934 0.8893  7 In 3.07-3.19
Sn 0.2668 0.8893 0.2960  7 In 3.07-3.19
Sn 0.2668 0.4066 0.1107  7 In 3.07-3.19
In 0.2415 0.9341 0.5607  4 Sn 3.07-3.15
Sn 0.7332 0.1107 0.7040  7 In 3.07-3.19
In 0.7743 0.8623 0.1139  4 Sn 3.05-3.19
In 0.2415 0.6267 0.0659  4 Sn 3.07-3.15
Sn 0.2668 0.7040 0.5934  7 In 3.07-3.19
In 0.2257 0.7484 0.8623  4 Sn 3.05-3.19
In 0.2257 0.1377 0.8861  4 Sn 3.05-3.19
In 0.2415 0.4393 0.3733  4 Sn 3.07-3.15
In 0.7743 0.2516 0.1377  4 Sn 3.05-3.19
K 0.2430 0.3333 0.6667  6 Sn 3.84-3.89, 6 In 3.89-3.97

Entry 5:
# Tb3Be2Ni7

A geometry-optimized Tb3Be2Ni7 structure (PBE, the Alexandria database).

The calculation puts the formation energy at -458 meV/atom. As for the space group: R-3m. As for the density of states at the Fermi level: 5.286 states/eV per cell. The value obtained for the spin magnetization is 0.0 μB/f.u.

Cell: 5.0562 5.0562 8.1040 Å, 71.82 71.82 60.00°
Closest atoms and distances in Å follow each position.
Atoms (fractional coordinates):
Ni 0.0769 0.5744 0.7743  2 Be 2.24-2.25
Ni 0.4256 0.4256 0.2257  2 Be 2.24-2.25
Ni 0.9231 0.4256 0.2257  2 Be 2.24-2.25
Tb 0.8594 0.8594 0.4218  12 Ni 2.93-3.04, 4 Tb 3.15-3.19
Be 0.6672 0.6672 0.9984  6 Ni 2.24-2.25
Ni 0.4256 0.9231 0.2257  2 Be 2.24-2.25
Tb 0.0000 0.0000 0.0000  6 Be 2.92, 12 Ni 3.05, 2 Tb 3.19
Tb 0.1406 0.1406 0.5782  12 Ni 2.93-3.04, 4 Tb 3.15-3.19
Ni 0.5000 0.5000 0.5000  6 Ni 2.53
Ni 0.5744 0.5744 0.7743  2 Be 2.24-2.25
Be 0.3328 0.3328 0.0016  6 Ni 2.24-2.25
Ni 0.5744 0.0769 0.7743  2 Be 2.24-2.25

Entry 6:
# Ba2SnPd6Pb

A geometry-optimized Ba2SnPd6Pb structure (PBE, the Alexandria database).

The calculation puts the formation energy at -471 meV/atom. As for the space group: P-1. As for the density of states at the Fermi level: 4.973 states/eV per cell. The value obtained for the spin magnetization is 0.0 μB/f.u.

Cell: 7.0391 7.0446 7.0047 Å, 60.08 60.32 90.12°
Closest atoms and distances in Å follow each position.
Atoms (fractional coordinates):
Ba 0.7094 0.2889 0.5812  6 Pd 3.28-3.33, 1 Pb 3.61
Pb 0.5000 0.5000 0.0000  6 Pd 2.70-2.71
Sn 0.0000 0.0000 0.0000  6 Pd 2.68-2.69
Pd 0.1716 0.1259 0.5004  1 Sn 2.68, 1 Pb 2.70, 5 Pd 2.81-3.00
Pd 0.6714 0.1698 0.2014  1 Sn 2.69, 1 Pb 2.70, 5 Pd 2.81-3.01
Pd 0.3286 0.8302 0.7986  1 Sn 2.69, 1 Pb 2.70, 5 Pd 2.81-3.01
Pd 0.8284 0.8741 0.4996  1 Sn 2.68, 1 Pb 2.70, 5 Pd 2.81-3.00
Pd 0.8766 0.6719 0.9532  1 Sn 2.69, 1 Pb 2.71, 5 Pd 2.81-3.00
Ba 0.2906 0.7111 0.4188  6 Pd 3.28-3.33, 1 Pb 3.61
Pd 0.1234 0.3281 0.0468  1 Sn 2.69, 1 Pb 2.71, 5 Pd 2.81-3.00

Entry 7:
# AcHoHgPd

A geometry-optimized AcHoHgPd structure (PBE, the Alexandria database).

The calculation puts the formation energy at -541 meV/atom. As for the space group: F-43m. As for the density of states at the Fermi level: 3.065 states/eV per cell. The value obtained for the spin magnetization is 0.0 μB/f.u.

Cell: 5.3492 5.3492 5.3492 Å, 60.00 60.00 60.00°
Closest atoms and distances in Å follow each position.
Atoms (fractional coordinates):
Hg 0.2500 0.2500 0.2500  4 Ac 3.28, 4 Ho 3.28
Ho 0.0000 0.0000 0.0000  4 Hg 3.28, 4 Pd 3.28
Pd 0.7500 0.7500 0.7500  4 Ho 3.28, 4 Ac 3.28
Ac 0.5000 0.5000 0.5000  4 Pd 3.28, 4 Hg 3.28

Entry 8:
# Tm3VRu4

A geometry-optimized Tm3VRu4 structure (PBE, the Alexandria database).

The calculation puts the formation energy at -357 meV/atom. As for the space group: P4/mmm. As for the density of states at the Fermi level: 5.112 states/eV per cell. The value obtained for the spin magnetization is 0.0 μB/f.u.

Cell: 3.2366 3.2366 13.3560 Å, 90.00 90.00 90.00°
Closest atoms and distances in Å follow each position.
Atoms (fractional coordinates):
Tm 0.5000 0.5000 0.5000  8 Ru 2.87
Ru 0.0000 0.0000 0.8953  4 V 2.68, 1 Ru 2.80, 4 Tm 2.96
Ru 0.0000 0.0000 0.3698  8 Tm 2.83-2.87
V 0.5000 0.5000 0.0000  8 Ru 2.68
Tm 0.5000 0.5000 0.7553  8 Ru 2.83-2.96
Ru 0.0000 0.0000 0.1047  4 V 2.68, 1 Ru 2.80, 4 Tm 2.96
Ru 0.0000 0.0000 0.6302  8 Tm 2.83-2.87
Tm 0.5000 0.5000 0.2447  8 Ru 2.83-2.96